(1)
A relaxed Fe2SiPt crystal. Source: Alexandria via LeMat-Bulk, functional PBE.

The space group is P2/m (No. 10) and the conventional cell measures 2.670, 3.830 and 5.048 Å, with angles of 90.00, 96.40 and 90.00 degrees. The inequivalent atoms are Fe at (0.058, 0.000, 0.272), Si at (0.500, 0.500, 0.500) and Pt at (0.500, 0.500, 0.000).

The value obtained for the size of the total moment is 4.7 μB per formula unit. For the uncorrected formation energy, the calculation gives -256 meV per atom. Its crystal system is monoclinic.

---

(2)
A relaxed TlSiBiSe4 crystal. Source: Alexandria via LeMat-Bulk, functional PBE.

The space group is P2_1/m (No. 11) and the conventional cell measures 6.851, 7.035 and 8.972 Å, with angles of 90.00, 107.59 and 90.00 degrees. The inequivalent atoms are Tl at (0.246, 0.250, 0.064), Si at (0.220, 0.750, 0.320), Bi at (0.240, 0.250, 0.551), Se at (0.003, 0.503, 0.724), Se at (0.419, 0.750, 0.576) and Se at (0.420, 0.750, 0.159).

The value obtained for the size of the total moment is 0.0 μB per formula unit. For the uncorrected formation energy, the calculation gives -440 meV per atom. Its crystal system is monoclinic.

---

(3)
A relaxed ZrTiHg crystal. Source: Alexandria via LeMat-Bulk, functional PBE.

The space group is P-6m2 (No. 187) and the conventional cell measures 4.7860, 4.7860 and 3.1791 Å, with angles of 90.00, 90.00 and 120.00 degrees. The inequivalent atoms are Zr at (0.0000, 0.0000, 0.0000), Ti at (0.3333, 0.6667, 0.5000) and Hg at (0.6667, 0.3333, 0.5000).

The value obtained for the size of the total moment is 1.6 μB per formula unit. Its formation energy is 0.117 eV/atom. The calculation puts the offset from the most stable computed form at 201 meV/atom. Its crystal system is hexagonal.